The following is a DFT calculation (SCAN) of a PBEsol-optimized structure of Tc2HCl.

The structure in extended XYZ format:
```
4
Lattice="3.9615 0.0000 0.0000 1.9808 3.4308 0.0000 1.9808 1.1436 3.2346" Properties=species:S:1:pos:R:3 pbc="T T T"
H 0.0000 0.0000 0.0000
Tc 1.9808 1.1436 0.8086
Tc 5.9423 3.4308 2.4259
Cl 3.9615 2.2872 1.6173
```

Results
Crystal system: cubic
SG: Fm-3m

=====

The following is a DFT calculation (SCAN) of a PBEsol-optimized structure of TiTcHCl2.

The structure in extended XYZ format:
```
5
Lattice="-1.8046 -4.1303 0.8263 1.4339 0.2428 4.3456 -4.0804 2.0295 1.2330" Properties=species:S:1:pos:R:3 pbc="T T T"
H -2.2255 -0.9290 3.2024
Cl 0.7170 0.1214 2.1728
Cl -0.9023 -2.0652 0.4131
Tc 0.0000 0.0000 0.0000
Ti -2.0402 1.0147 0.6165
```

Results
Crystal system: tetragonal
SG: P4/mmm

=====

The following is a DFT calculation (SCAN) of a PBEsol-optimized structure of TeHCl3.

The structure in extended XYZ format:
```
5
Lattice="5.2251 0.0000 0.0000 0.0000 5.2251 0.0000 0.0000 0.0000 5.2251" Properties=species:S:1:pos:R:3 pbc="T T T"
H 2.6125 2.6125 2.6125
Te 0.0000 0.0000 0.0000
Cl 0.0000 2.6125 0.0000
Cl 0.0000 0.0000 2.6125
Cl 2.6125 0.0000 0.0000
```

Results
Crystal system: cubic
SG: Pm-3m

=====

The following is a DFT calculation (SCAN) of a PBEsol-optimized structure of TiH3Cl.

The structure in extended XYZ format:
```
5
Lattice="3.5458 0.0000 0.0000 0.0000 3.5458 0.0000 0.0000 0.0000 3.5458" Properties=species:S:1:pos:R:3 pbc="T T T"
H 0.0000 1.7729 0.0000
H 0.0000 0.0000 1.7729
H 1.7729 0.0000 0.0000
Ti 1.7729 1.7729 1.7729
Cl 0.0000 0.0000 0.0000
```

Results
Crystal system: cubic
SG: Pm-3m

=====

Number 1: density of states at the Fermi level 3.4 states/eV/f.u., E_tot -19.16 eV/atom. Number 2: density of states at the Fermi level 2.1 states/eV/f.u., E_tot -13.61 eV/atom. Number 3: density of states at the Fermi level 1.8 states/eV/f.u., E_tot -12.86 eV/atom. Number 4: density of states at the Fermi level 2.7 states/eV/f.u., E_tot -5.56 eV/atom.